# TbEr7Sc2, optimized geometry, DFT PBE-GGA
# Relative energy among the computed polymorphs = 0.00 kJ per mole of atoms
# Fermi-level density of states = 17.46 states/eV/f.u.
# ΔE_f = 4 kJ per mole of atoms
# Calculated volume = 591.77 Å³ per cell
# Total energy = -4.879 eV per atom
data_TbEr7Sc2
_chemical_formula_sum 'Tb2 Er14 Sc4'
_symmetry_space_group_name_H-M 'I m m m'
_symmetry_Int_Tables_number 71
_symmetry_space_group_name_Hall '-I 2 2'
_cell_length_a 5.280
_cell_length_b 6.879
_cell_length_c 16.291
_cell_angle_alpha 90.00
_cell_angle_beta 90.00
_cell_angle_gamma 90.00
loop_
_atom_site_label
_atom_site_fract_x
_atom_site_fract_y
_atom_site_fract_z
Tb1 0.000 0.000 0.000
Er1 0.000 0.000 0.202
Er2 0.000 0.249 0.387
Er3 0.000 0.500 0.000
Sc1 0.000 0.500 0.199

***

# Tb2ErSc2, optimized geometry, DFT PBE-GGA
# Relative energy among the computed polymorphs = 0.00 kJ per mole of atoms
# Fermi-level density of states = 10.03 states/eV/f.u.
# ΔE_f = 15 kJ per mole of atoms
# Calculated volume = 293.55 Å³ per cell
# Total energy = -5.140 eV per atom
data_Tb2ErSc2
_chemical_formula_sum 'Tb4 Er2 Sc4'
_symmetry_space_group_name_H-M 'A m m 2'
_symmetry_Int_Tables_number 38
_symmetry_space_group_name_Hall 'A 2 -2'
_cell_length_a 3.372
_cell_length_b 5.510
_cell_length_c 15.802
_cell_angle_alpha 90.00
_cell_angle_beta 90.00
_cell_angle_gamma 90.00
loop_
_atom_site_label
_atom_site_fract_x
_atom_site_fract_y
_atom_site_fract_z
Tb1 0.000 0.000 0.000
Tb2 0.500 0.000 0.199
Er1 0.000 0.000 0.626
Sc1 0.000 0.000 0.384
Sc2 0.500 0.000 0.814

***

# Tb2Er2Sc3, optimized geometry, DFT PBE-GGA
# Relative energy among the computed polymorphs = 18.28 kJ per mole of atoms
# Fermi-level density of states = 10.35 states/eV/f.u.
# ΔE_f = 23 kJ per mole of atoms
# Calculated volume = 804.26 Å³ per cell
# Total energy = -5.100 eV per atom
data_Tb2Er2Sc3
_chemical_formula_sum 'Tb8 Er8 Sc12'
_symmetry_space_group_name_H-M 'I 21 3'
_symmetry_Int_Tables_number 199
_symmetry_space_group_name_Hall 'I 2b 2c 3'
_cell_length_a 9.300
_cell_length_b 9.300
_cell_length_c 9.300
_cell_angle_alpha 90.00
_cell_angle_beta 90.00
_cell_angle_gamma 90.00
loop_
_atom_site_label
_atom_site_fract_x
_atom_site_fract_y
_atom_site_fract_z
Tb1 0.090 0.410 0.590
Er1 0.210 0.210 0.210
Sc1 0.000 0.250 0.949